First-principles (PBE) data for a relaxed CdHgTe2N crystal, as listed in the Alexandria database.

Lattice parameters (Å, degrees): 5.8943 5.8943 4.0406 90.00 90.00 90.00
With the nearest neighbours (Å) after each atom.
Positions (direct):
Cd  0.0000  0.0000  0.0000  8 Te 3.57
Hg  0.5000  0.5000  0.5000  2 N 2.02
Te  0.0000  0.5000  0.5000  2 Hg 2.95
Te  0.5000  0.0000  0.5000  2 Hg 2.95
N  0.5000  0.5000  0.0000  2 Hg 2.02

## Properties
The calculation puts the density of states at the Fermi level at 3.5 states/eV per cell. Its space group is No. 123. As for the offset from the most stable computed form: 482 meV/atom.

***

First-principles (PBE) data for a relaxed CdHgTeN2 crystal, as listed in the Alexandria database.

Lattice parameters (Å, degrees): 4.3675 4.3675 6.4820 90.00 90.00 90.00
With the nearest neighbours (Å) after each atom.
Positions (direct):
Cd  0.0000  0.0000  0.0000  4 N 2.18
Hg  0.5000  0.5000  0.5000  4 Te 3.09
Te  0.0000  0.0000  0.5000  4 Hg 3.09, 2 Cd 3.24
N  0.0000  0.5000  0.0000  2 Cd 2.18
N  0.5000  0.0000  0.0000  2 Cd 2.18

## Properties
The calculation puts the density of states at the Fermi level at 2.2 states/eV per cell. Its space group is No. 123. As for the offset from the most stable computed form: 0 meV/atom.